# 1
Material: BaMgAs2
Method: DFT, GGA-PBE
State: relaxed

Geometry as POSCAR:
```
BaMgAs2
1.0
-3.920 -1.708 -1.091
-0.402 -0.427 -4.374
0.303 -6.619 -2.257
As Ba Mg
2 1 1
direct
0.059 0.059 0.908 As
0.441 0.441 0.592 As
0.250 0.250 0.250 Ba
0.750 0.750 0.750 Mg
```

- formation enthalpy at 0 K (eV/atom) = -0.68
- space-group type = No. 12



# 2
Material: Li2CaRu
Method: DFT, GGA-PBE
State: relaxed

Geometry as POSCAR:
```
Li2CaRu
1.0
-0.672 3.662 -2.332
-0.484 -1.539 -2.277
-6.302 -0.987 0.266
Ca Li Ru
1 2 1
direct
0.500 0.780 0.706 Ca
0.000 0.036 0.069 Li
0.500 0.247 0.262 Li
0.000 0.438 0.464 Ru
```

- formation enthalpy at 0 K (eV/atom) = 0.30
- space-group type = No. 6



# 3
Material: ZrAlCu
Method: DFT, GGA-PBE
State: relaxed

Geometry as POSCAR:
```
ZrAlCu
1.0
5.281 0.000 0.000
2.641 4.453 -0.013
2.641 1.478 4.200
Zr Al Cu
2 2 2
direct
0.555 0.155 0.275 Zr
0.307 0.903 0.023 Zr
0.931 0.529 0.649 Al
0.431 0.529 0.649 Al
0.931 0.529 0.149 Cu
0.931 0.029 0.649 Cu
```

- formation enthalpy at 0 K (eV/atom) = -0.41
- space-group type = No. 74



# 4
Material: Y3InAu2
Method: DFT, GGA-PBE
State: relaxed

Geometry as POSCAR:
```
Y3InAu2
1.0
3.605 0.000 0.000
0.000 3.605 0.000
0.000 0.000 11.353
Y In Au
3 1 2
direct
0.000 0.000 0.000 Y
0.000 0.000 0.682 Y
0.000 0.000 0.318 Y
0.500 0.500 0.500 In
0.500 0.500 0.837 Au
0.500 0.500 0.163 Au
```

- formation enthalpy at 0 K (eV/atom) = -0.74
- space-group type = No. 123



# 5
Material: NaTl2PW
Method: DFT, GGA-PBE
State: relaxed

Geometry as POSCAR:
```
NaTl2PW
1.0
-3.495 -1.893 3.774
-0.160 -4.104 -2.206
4.218 -1.783 3.011
P Tl W Na
1 2 1 1
direct
0.000 0.500 0.000 P
0.000 0.000 0.500 Tl
0.500 0.000 0.000 Tl
0.000 0.000 0.000 W
0.500 0.500 0.500 Na
```

- formation enthalpy at 0 K (eV/atom) = 0.28
- space-group type = No. 123



# 6
Material: P2Au
Method: DFT, GGA-PBE
State: relaxed

Geometry as POSCAR:
```
P2Au
1.0
3.802 -6.585 0.000
3.802 6.585 0.000
0.000 0.000 3.337
P Au
6 3
direct
0.286 0.000 0.000 P
0.000 0.286 0.000 P
0.714 0.714 0.000 P
0.492 0.000 0.500 P
0.000 0.492 0.500 P
0.508 0.508 0.500 P
0.333 0.667 0.000 Au
0.667 0.333 0.000 Au
0.000 0.000 0.500 Au
```

- formation enthalpy at 0 K (eV/atom) = 0.36
- space-group type = No. 189



Size of the total moment readings, ordered: 0.0 0.0 0.7 0.0 0.0 0.0 μB/f.u.
Calculated density readings, ordered: 4.68 3.37 6.10 8.73 7.67 7.72 Mg/m³
DOS(E_F) readings, ordered: 1.49 3.20 2.44 3.73 1.77 0.97 states/eV/f.u.